No. 1
Density functional theory data (GGA-PBE) for an optimized crystal structure of Pr2Ag3Sn2. Values from VASP.

Structure (Quantum ESPRESSO input):
```
&SYSTEM
  ibrav = 0, nat = 7, ntyp = 3
/
ATOMIC_SPECIES
Pr 140.91 Pr.upf
Ag 107.87 Ag.upf
Sn 118.71 Sn.upf
CELL_PARAMETERS angstrom
4.7158 0.0000 0.0000
-2.3579 5.6282 0.0469
0.0000 -2.5384 6.5665
ATOMIC_POSITIONS crystal
Pr 0.8532 0.7064 0.2481
Pr 0.1468 0.2936 0.7519
Ag 0.5000 0.0000 0.0000
Ag 0.6008 0.2016 0.4287
Ag 0.3992 0.7984 0.5713
Sn 0.8536 0.7072 0.7702
Sn 0.1464 0.2928 0.2298
```

Properties
- Space-group type: C2/m (12)
- ρ: 8.00 g/cm³
- Electronic total energy: -29.217 eV/f.u.
- Crystal system: monoclinic


No. 2
Density functional theory data (GGA-PBE) for an optimized crystal structure of DyB4Rh7. Values from VASP.

Structure (Quantum ESPRESSO input):
```
&SYSTEM
  ibrav = 0, nat = 12, ntyp = 3
/
ATOMIC_SPECIES
Dy 162.50 Dy.upf
B 10.81 B.upf
Rh 102.91 Rh.upf
CELL_PARAMETERS angstrom
2.8986 0.0000 0.0000
0.0000 5.5545 0.0000
0.0000 0.0000 9.6045
ATOMIC_POSITIONS crystal
Dy 0.0000 0.5000 0.0000
B 0.0000 0.5000 0.3315
B 0.0000 0.0000 0.8347
B 0.0000 0.0000 0.1653
B 0.0000 0.5000 0.6685
Rh 0.5000 0.0000 0.0000
Rh 0.5000 0.5000 0.5000
Rh 0.5000 0.7547 0.2553
Rh 0.5000 0.2453 0.7447
Rh 0.5000 0.2453 0.2553
Rh 0.5000 0.7547 0.7447
Rh 0.0000 0.0000 0.5000
```

Properties
- Space-group type: Pmmm (47)
- ρ: 9.94 g/cm³
- Electronic total energy: -86.978 eV/f.u.
- Crystal system: orthorhombic


No. 3
Density functional theory data (GGA-PBE) for an optimized crystal structure of Pr3Er4Hg4. Values from VASP.

Structure (Quantum ESPRESSO input):
```
&SYSTEM
  ibrav = 0, nat = 11, ntyp = 3
/
ATOMIC_SPECIES
Pr 140.91 Pr.upf
Er 167.26 Er.upf
Hg 200.59 Hg.upf
CELL_PARAMETERS angstrom
-0.6637 -4.8857 0.3190
7.8402 -1.0884 -0.3557
-3.1476 3.4657 8.2652
ATOMIC_POSITIONS crystal
Pr 0.1108 0.1108 0.2216
Pr 0.8892 0.8892 0.7784
Pr 0.0000 0.5000 0.0000
Er 0.3255 0.1138 0.6511
Er 0.6745 0.4627 0.3489
Er 0.6745 0.8862 0.3489
Er 0.3255 0.5373 0.6511
Hg 0.2119 0.7119 0.4237
Hg 0.7881 0.2881 0.5763
Hg 0.5000 0.8029 0.0000
Hg 0.5000 0.1971 0.0000
```

Properties
- Space-group type: Immm (71)
- ρ: 9.71 g/cm³
- Electronic total energy: -37.108 eV/f.u.
- Crystal system: orthorhombic


No. 4
Density functional theory data (GGA-PBE) for an optimized crystal structure of HfRhF2. Values from VASP.

Structure (Quantum ESPRESSO input):
```
&SYSTEM
  ibrav = 0, nat = 4, ntyp = 3
/
ATOMIC_SPECIES
Rh 102.91 Rh.upf
Hf 178.49 Hf.upf
F 19.00 F.upf
CELL_PARAMETERS angstrom
-3.5785 -2.1122 -0.5537
-3.6036 1.5609 1.4666
-2.8963 1.4453 -2.6638
ATOMIC_POSITIONS crystal
Rh 0.0000 0.0000 0.0000
Hf 0.5000 0.5000 0.5000
F 0.2500 0.2500 0.2500
F 0.7500 0.7500 0.7500
```

Properties
- Energy above the lowest structure with this stoichiometry: 63.0 kJ per mole of atoms
- Space-group type: Fm-3m (225)
- ρ: 10.18 g/cm³
- Uncorrected formation energy: -0.9735 eV per atom
- Electronic total energy: -24.942 eV/f.u.
- Crystal system: cubic


No. 5
Density functional theory data (GGA-PBE) for an optimized crystal structure of Ti4Ga3Re. Values from VASP.

Structure (Quantum ESPRESSO input):
```
&SYSTEM
  ibrav = 0, nat = 8, ntyp = 3
/
ATOMIC_SPECIES
Re 186.21 Re.upf
Ga 69.72 Ga.upf
Ti 47.87 Ti.upf
CELL_PARAMETERS angstrom
-2.3412 -1.5527 -1.6880
1.6919 0.4592 -2.7691
5.4822 -10.0888 1.6766
ATOMIC_POSITIONS crystal
Re 0.5000 0.5000 0.0000
Ga 0.5000 0.5000 0.2493
Ga 0.5000 0.5000 0.5000
Ga 0.5000 0.5000 0.7507
Ti 0.0000 0.0000 0.8751
Ti 0.0000 0.0000 0.1249
Ti 0.0000 0.0000 0.3790
Ti 0.0000 0.0000 0.6210
```

Properties
- Space-group type: P4/mmm (123)
- ρ: 7.82 g/cm³
- Electronic total energy: -56.532 eV/f.u.
- Crystal system: tetragonal


No. 6
Density functional theory data (GGA-PBE) for an optimized crystal structure of Li2VIr2. Values from VASP.

Structure (Quantum ESPRESSO input):
```
&SYSTEM
  ibrav = 0, nat = 5, ntyp = 3
/
ATOMIC_SPECIES
V 50.94 V.upf
Ir 192.22 Ir.upf
Li 6.94 Li.upf
CELL_PARAMETERS angstrom
4.2125 0.0000 0.0000
0.0000 4.2125 0.0000
2.1063 2.1063 3.5471
ATOMIC_POSITIONS crystal
V 0.0000 0.0000 0.0000
Ir 0.7500 0.2500 0.5000
Ir 0.2500 0.7500 0.5000
Li 0.3817 0.3817 0.2366
Li 0.6183 0.6183 0.7634
```

Properties
- Energy above the lowest structure with this stoichiometry: 17.2 kJ per mole of atoms
- Space-group type: I4/mmm (139)
- ρ: 11.85 g/cm³
- Electronic total energy: -29.735 eV/f.u.
- Crystal system: tetragonal


No. 7
Density functional theory data (GGA-PBE) for an optimized crystal structure of Ba2Li2Ac3Tl4. Values from VASP.

Structure (Quantum ESPRESSO input):
```
&SYSTEM
  ibrav = 0, nat = 11, ntyp = 4
/
ATOMIC_SPECIES
Ba 137.33 Ba.upf
Li 6.94 Li.upf
Ac 227.00 Ac.upf
Tl 204.38 Tl.upf
CELL_PARAMETERS angstrom
5.3764 0.0000 0.0000
-2.6882 4.6561 0.0000
0.0000 0.0000 16.0279
ATOMIC_POSITIONS crystal
Ba 0.6667 0.3333 0.4213
Ba 0.3333 0.6667 0.5787
Li 0.6667 0.3333 0.8774
Li 0.3333 0.6667 0.1226
Ac 0.0000 0.0000 0.7681
Ac 0.0000 0.0000 0.0000
Ac 0.0000 0.0000 0.2319
Tl 0.6667 0.3333 0.1150
Tl 0.3333 0.6667 0.8850
Tl 0.6667 0.3333 0.6756
Tl 0.3333 0.6667 0.3244
```

Properties
- Space-group type: P-3m1 (164)
- ρ: 7.40 g/cm³
- Electronic total energy: -31.704 eV/f.u.
- Crystal system: trigonal


No. 8
Density functional theory data (GGA-PBE) for an optimized crystal structure of Ca2BeH. Values from VASP.

Structure (Quantum ESPRESSO input):
```
&SYSTEM
  ibrav = 0, nat = 8, ntyp = 3
/
ATOMIC_SPECIES
Be 9.01 Be.upf
Ca 40.08 Ca.upf
H 1.01 H.upf
CELL_PARAMETERS angstrom
-5.3828 -0.6925 -3.9932
1.9716 -6.2478 -1.5741
-3.7344 -4.8601 0.1921
ATOMIC_POSITIONS crystal
Be 0.0000 0.0000 0.0000
Be 0.7500 0.2500 0.5000
Ca 0.5523 0.1250 0.2500
Ca 0.1977 0.6250 0.2500
Ca 0.3750 0.4477 0.7500
Ca 0.8750 0.8023 0.7500
H 0.5000 0.5000 0.0000
H 0.2500 0.7500 0.5000
```

Properties
- Energy above the lowest structure with this stoichiometry: 0.0 kJ per mole of atoms
- Space-group type: I-42d (122)
- ρ: 1.71 g/cm³
- Electronic total energy: -10.363 eV/f.u.
- Crystal system: tetragonal